Rb2Na4InSn2: optimized geometry, PBE-GGA.

Cell: 8.762 8.762 5.671 Å, 107.68 107.68 55.22°
Atoms (fractional coordinates):
Rb (0.133, 0.133, 0.142)
Rb (0.867, 0.867, 0.858)
Na (0.158, 0.563, 0.353)
Na (0.437, 0.842, 0.647)
Na (0.563, 0.158, 0.353)
Na (0.842, 0.437, 0.647)
In (0.500, 0.500, 0.000)
Sn (0.309, 0.309, 0.804)
Sn (0.691, 0.691, 0.196)

formation enthalpy at 0 K = -0.097 eV per atom
uncorrected energy = -18.83 eV/f.u.